The following is a SCAN calculation of a crystal of Ca2HgPbW relaxed with PBEsol, from Alexandria.

Output
Its magnetic moment is 2.63 μB/cell. The total energy comes out at -45.877 eV/atom.

Lattice parameters (Å, degrees): 5.5376 5.5376 5.0999 90.00 90.00 90.00
Space group P4/mmm (No. 123)
Asymmetric unit:
Ca: 0.0000 0.5000 0.0000
Hg: 0.0000 0.0000 0.0000
Pb: 0.5000 0.5000 0.5000
W: 0.0000 0.0000 0.5000